Record 1
Compound: BeReNi2
Source: the Alexandria database
Functional: PBE-GGA
Structure: optimized geometry

Geometry as POSCAR:
```
BeReNi2
1.0
3.960 -0.416 0.000
0.412 3.961 0.000
-2.186 -1.772 2.818
Re Be Ni
1 1 2
direct
0.500 0.500 0.000
0.750 0.250 0.500
0.250 0.750 0.500
0.000 0.000 0.000
```

Results
VASP energy: -6.873 eV per atom
Energy of formation: 1.416 kcal/mol of atoms
ρ: 11.6 g cm⁻³
Total moment: 0.00 μB/f.u.

Record 2
Compound: BeReNi2
Source: the Alexandria database
Functional: PBE-GGA
Structure: optimized geometry

Geometry as POSCAR:
```
BeReNi2
1.0
3.895 0.000 0.000
0.000 3.399 0.000
0.000 0.000 3.399
Ni Be Re
2 1 1
direct
0.000 0.000 0.000
0.000 0.500 0.500
0.500 0.000 0.500
0.500 0.500 0.000
```

Results
VASP energy: -6.850 eV per atom
Energy of formation: 1.937 kcal/mol of atoms
ρ: 11.5 g cm⁻³
Total moment: 0.22 μB/f.u.

Record 3
Compound: Be2ReNi
Source: the Alexandria database
Functional: PBE-GGA
Structure: optimized geometry

Geometry as POSCAR:
```
Be2ReNi
1.0
-1.339 -4.913 5.739
0.296 -6.363 4.277
1.261 -4.622 5.993
Ni Be Re
1 2 1
direct
0.250 0.250 0.250
0.994 0.994 0.994
0.506 0.506 0.506
0.750 0.750 0.750
```

Results
VASP energy: -6.373 eV per atom
Energy of formation: 1.095 kcal/mol of atoms
ρ: 9.7 g cm⁻³
Total moment: 0.00 μB/f.u.

Record 4
Compound: Be2ReNi
Source: the Alexandria database
Functional: PBE-GGA
Structure: optimized geometry

Geometry as POSCAR:
```
Be2ReNi
1.0
4.540 -0.001 0.000
2.136 4.006 0.000
-3.338 -2.003 2.336
Be Re Ni
2 1 1
direct
0.000 0.000 0.000
0.250 0.750 0.500
0.750 0.250 0.500
0.500 0.500 0.000
```

Results
VASP energy: -6.405 eV per atom
Energy of formation: 0.363 kcal/mol of atoms
ρ: 10.3 g cm⁻³
Total moment: 0.61 μB/f.u.